No. 1
The following is a PBEsol calculation of a geometry-optimized Pb2NCl structure, from the Alexandria database. Values from VASP.

Properties
space group = Fm-3m (225)
spin magnetization = 0.0 μB/f.u.
uncorrected energy = -16.8 eV/cell
uncorrected formation energy = 0.440 eV/atom
D(E_F) = 1.32 states/eV per cell

```
&SYSTEM
  ibrav = 0, nat = 4, ntyp = 3
/
ATOMIC_SPECIES
Pb 207.20 Pb.upf
N 14.01 N.upf
Cl 35.45 Cl.upf
CELL_PARAMETERS angstrom
0.0000 3.4268 3.4268
3.4268 0.0000 3.4268
3.4268 3.4268 0.0000
ATOMIC_POSITIONS crystal
Pb 0.2500 0.2500 0.2500
Pb 0.7500 0.7500 0.7500
N 0.0000 0.0000 0.0000
Cl 0.5000 0.5000 0.5000
```

***

No. 2
The following is a PBEsol calculation of a geometry-optimized ScP2Cl structure, from the Alexandria database. Values from VASP.

Properties
space group = R3m (160)
spin magnetization = 0.0 μB/f.u.
uncorrected energy = -23.5 eV/cell
uncorrected formation energy = -0.824 eV/atom
D(E_F) = 1.26 states/eV per cell
distance to the lowest polymorph of the same formula = 108 meV/atom

```
&SYSTEM
  ibrav = 0, nat = 4, ntyp = 3
/
ATOMIC_SPECIES
Sc 44.96 Sc.upf
P 30.97 P.upf
Cl 35.45 Cl.upf
CELL_PARAMETERS angstrom
1.9049 1.0998 6.4232
-1.9049 1.0998 6.4232
0.0000 -2.1996 6.4232
ATOMIC_POSITIONS crystal
Sc 0.0000 0.0000 0.0000
P 0.2541 0.2541 0.2541
P 0.5616 0.5616 0.5616
Cl 0.7443 0.7443 0.7443
```

***

No. 3
The following is a PBEsol calculation of a geometry-optimized MnPSe2 structure, from the Alexandria database. Values from VASP.

Properties
space group = P4mm (99)
spin magnetization = 2.5 μB/f.u.
uncorrected energy = -23.2 eV/cell
uncorrected formation energy = 0.017 eV/atom
D(E_F) = 1.80 states/eV per cell

```
&SYSTEM
  ibrav = 0, nat = 4, ntyp = 3
/
ATOMIC_SPECIES
Mn 54.94 Mn.upf
P 30.97 P.upf
Se 78.96 Se.upf
CELL_PARAMETERS angstrom
3.1425 0.0000 0.0000
0.0000 3.1425 0.0000
0.0000 0.0000 6.8373
ATOMIC_POSITIONS crystal
Mn 0.0000 0.0000 0.0000
P 0.5000 0.5000 0.1435
Se 0.0000 0.0000 0.3681
Se 0.5000 0.5000 0.7757
```